(1)
Zr12Nb3H5 | PBE-GGA | relaxed

Structure (CIF):
```
data_Zr12Nb3H5
_cell_length_a 14.240
_cell_length_b 14.240
_cell_length_c 14.240
_cell_angle_alpha 90.00
_cell_angle_beta 90.00
_cell_angle_gamma 90.00
_space_group_name_H-M_alt 'I a -3 d'
_space_group_IT_number 230
_space_group_name_Hall '-I 4bd 2c 3'
loop_
_atom_site_label
_atom_site_fract_x
_atom_site_fract_y
_atom_site_fract_z
Zr1 0.039 0.056 0.650
Nb1 0.000 0.250 0.125
H1 0.000 0.000 0.000
H2 0.000 0.250 0.375
```

Values from the calculation:
For the density of states at the Fermi level, the calculation gives 136.48 states/eV/cell. The calculation puts the calculated total energy at -7.3910 eV/atom.

=====

(2)
Y3Ni2Rh7 | PBE-GGA | relaxed

Structure (CIF):
```
data_Y3Ni2Rh7
_cell_length_a 5.2644
_cell_length_b 5.2644
_cell_length_c 25.4644
_cell_angle_alpha 90.00
_cell_angle_beta 90.00
_cell_angle_gamma 120.00
_space_group_name_H-M_alt 'R -3 m'
_space_group_IT_number 166
_space_group_name_Hall '-R 3 2"'
loop_
_atom_site_label
_atom_site_fract_x
_atom_site_fract_y
_atom_site_fract_z
Y1 0.0000 0.0000 0.0000
Y2 0.0000 0.0000 0.1395
Ni1 0.0000 0.0000 0.3333
Rh1 0.0000 0.0000 0.5000
Rh2 0.0018 0.5009 0.9201
```

Values from the calculation:
For the density of states at the Fermi level, the calculation gives 32.86 states/eV/cell. The energy relative to the elements comes out at -563.0 meV/atom. The calculation puts the calculated total energy at -7.4309 eV/atom.